1.
Density functional theory data (PBE) for an optimized crystal structure of ZrPa2Ga.

Its energy relative to the lowest polymorph listed for this composition is 18.8 kJ per mole of atoms. The formation energy comes out at -0.008 eV per atom. The calculation puts the size of the total moment at 0.00 Bohr magnetons per cell.

The structure in CIF format:
```
data_ZrPa2Ga
_cell_length_a 3.859
_cell_length_b 3.859
_cell_length_c 6.378
_cell_angle_alpha 90.00
_cell_angle_beta 90.00
_cell_angle_gamma 90.00
_space_group_name_H-M_alt 'P 4/m m m'
_space_group_IT_number 123
_space_group_name_Hall '-P 4 2'
loop_
_atom_site_label
_atom_site_fract_x
_atom_site_fract_y
_atom_site_fract_z
_atom_site_occupancy
Zr1 0.000 0.000 0.000 1
Pa1 0.500 0.500 0.283 1
Ga1 0.000 0.000 0.500 1
```

***

2.
Density functional theory data (PBE) for an optimized crystal structure of ZrPa2Ga.

Its energy relative to the lowest polymorph listed for this composition is 31.3 kJ per mole of atoms. The formation energy comes out at 0.121 eV per atom. The calculation puts the size of the total moment at 0.00 Bohr magnetons per cell.

The structure in CIF format:
```
data_ZrPa2Ga
_cell_length_a 7.208
_cell_length_b 7.208
_cell_length_c 7.208
_cell_angle_alpha 90.00
_cell_angle_beta 90.00
_cell_angle_gamma 90.00
_space_group_name_H-M_alt 'F m -3 m'
_space_group_IT_number 225
_space_group_name_Hall '-F 4 2 3'
loop_
_atom_site_label
_atom_site_fract_x
_atom_site_fract_y
_atom_site_fract_z
_atom_site_occupancy
Zr1 0.000 0.000 0.000 1
Pa1 0.250 0.250 0.250 1
Ga1 0.000 0.000 0.500 1
```

***

3.
Density functional theory data (PBE) for an optimized crystal structure of ZrPa2Ga.

Its energy relative to the lowest polymorph listed for this composition is 0.0 kJ per mole of atoms. The formation energy comes out at -0.203 eV per atom. The calculation puts the size of the total moment at 0.00 Bohr magnetons per cell.

The structure in CIF format:
```
data_ZrPa2Ga
_cell_length_a 4.281
_cell_length_b 4.281
_cell_length_c 4.855
_cell_angle_alpha 90.00
_cell_angle_beta 90.00
_cell_angle_gamma 90.00
_space_group_name_H-M_alt 'P 4/m m m'
_space_group_IT_number 123
_space_group_name_Hall '-P 4 2'
loop_
_atom_site_label
_atom_site_fract_x
_atom_site_fract_y
_atom_site_fract_z
_atom_site_occupancy
Zr1 0.000 0.000 0.000 1
Pa1 0.000 0.500 0.500 1
Ga1 0.500 0.500 0.000 1
```

***

4.
Density functional theory data (PBE) for an optimized crystal structure of Zr2PaGa.

Its energy relative to the lowest polymorph listed for this composition is 4.7 kJ per mole of atoms. The formation energy comes out at -0.186 eV per atom. The calculation puts the size of the total moment at 0.00 Bohr magnetons per cell.

The structure in CIF format:
```
data_Zr2PaGa
_cell_length_a 3.599
_cell_length_b 3.599
_cell_length_c 6.613
_cell_angle_alpha 90.00
_cell_angle_beta 90.00
_cell_angle_gamma 90.00
_space_group_name_H-M_alt 'P 4/m m m'
_space_group_IT_number 123
_space_group_name_Hall '-P 4 2'
loop_
_atom_site_label
_atom_site_fract_x
_atom_site_fract_y
_atom_site_fract_z
_atom_site_occupancy
Zr1 0.000 0.000 0.233 1
Pa1 0.500 0.500 0.500 1
Ga1 0.500 0.500 0.000 1
```

***

5.
Density functional theory data (PBE) for an optimized crystal structure of Zr2PaGa6.

The formation energy comes out at -0.277 eV per atom. The calculation puts the size of the total moment at 0.20 Bohr magnetons per cell.

The structure in CIF format:
```
data_Zr2PaGa6
_cell_length_a 4.099
_cell_length_b 6.786
_cell_length_c 13.025
_cell_angle_alpha 90.00
_cell_angle_beta 90.00
_cell_angle_gamma 90.00
_space_group_name_H-M_alt 'I m m m'
_space_group_IT_number 71
_space_group_name_Hall '-I 2 2'
loop_
_atom_site_label
_atom_site_fract_x
_atom_site_fract_y
_atom_site_fract_z
_atom_site_occupancy
Zr1 0.000 0.000 0.120 1
Pa1 0.000 0.500 0.000 1
Ga1 0.000 0.199 0.314 1
Ga2 0.000 0.313 0.500 1
```

***

6.
Density functional theory data (PBE) for an optimized crystal structure of Zr2PaGa.

Its energy relative to the lowest polymorph listed for this composition is 0.0 kJ per mole of atoms. The formation energy comes out at -0.235 eV per atom. The calculation puts the size of the total moment at 0.00 Bohr magnetons per cell.

The structure in CIF format:
```
data_Zr2PaGa
_cell_length_a 4.631
_cell_length_b 4.631
_cell_length_c 3.984
_cell_angle_alpha 90.00
_cell_angle_beta 90.00
_cell_angle_gamma 90.00
_space_group_name_H-M_alt 'P 4/m m m'
_space_group_IT_number 123
_space_group_name_Hall '-P 4 2'
loop_
_atom_site_label
_atom_site_fract_x
_atom_site_fract_y
_atom_site_fract_z
_atom_site_occupancy
Zr1 0.000 0.500 0.000 1
Pa1 0.000 0.000 0.500 1
Ga1 0.500 0.500 0.500 1
```

***

> Among the records above, which one has the highest size of the total moment?

Zr2PaGa6

***

> What is the formula in the third record?

ZrPa2Ga

***

> What is the size of the total moment in the fourth record?

0.00 Bohr magnetons per cell

***

Repeat the first record exactly.
Density functional theory data (PBE) for an optimized crystal structure of ZrPa2Ga.

Its energy relative to the lowest polymorph listed for this composition is 18.8 kJ per mole of atoms. The formation energy comes out at -0.008 eV per atom. The calculation puts the size of the total moment at 0.00 Bohr magnetons per cell.

The structure in CIF format:
```
data_ZrPa2Ga
_cell_length_a 3.859
_cell_length_b 3.859
_cell_length_c 6.378
_cell_angle_alpha 90.00
_cell_angle_beta 90.00
_cell_angle_gamma 90.00
_space_group_name_H-M_alt 'P 4/m m m'
_space_group_IT_number 123
_space_group_name_Hall '-P 4 2'
loop_
_atom_site_label
_atom_site_fract_x
_atom_site_fract_y
_atom_site_fract_z
_atom_site_occupancy
Zr1 0.000 0.000 0.000 1
Pa1 0.500 0.500 0.283 1
Ga1 0.000 0.000 0.500 1
```